Material: NaCoF4
Method: DFT, PBE with a Hubbard U
State: optimized geometry

Structure (POSCAR):
```
NaCoF4
1.0
5.0056 0.0000 0.0000
0.0000 5.6679 0.0000
0.0000 0.0000 11.0017
Na Co F
4 4 16
Cartesian
0.0000 0.0000 0.0000
0.0000 0.0000 5.5009
2.5028 2.8339 0.0000
2.5028 2.8339 5.5009
0.0000 1.9543 2.7504
0.0000 3.7135 8.2513
2.5028 0.8796 8.2513
2.5028 4.7883 2.7504
0.8020 1.8593 1.1127
0.8020 3.8086 6.6135
1.2326 0.4844 3.4531
1.2326 5.1834 8.9539
1.2702 2.3495 8.9539
1.2702 3.3184 3.4531
1.7008 0.9747 6.6135
1.7008 4.6932 1.1127
3.3048 0.9747 9.8891
3.3048 4.6932 4.3882
3.7354 2.3495 7.5486
3.7354 3.3184 2.0478
3.7730 0.4844 2.0478
3.7730 5.1834 7.5486
4.2036 1.8593 4.3882
4.2036 3.8086 9.8891
```

Calculated values
As for the symmetry: No. 60. The total energy comes out at -4.5847 eV/atom.

Material: Na2Co2F7
Method: DFT, PBE with a Hubbard U
State: optimized geometry

Structure (POSCAR):
```
Na2Co2F7
1.0
3.5717 -3.8145 0.0000
3.5717 3.8145 0.0000
-0.3150 0.0000 5.5021
Na Co F
2 2 7
Cartesian
3.5717 2.1276 0.0000
3.5717 -2.1276 0.0000
1.4718 0.0000 3.0614
5.3567 0.0000 2.4407
1.5472 1.5447 4.1238
0.2838 0.0000 1.5687
1.5472 -1.5447 4.1238
3.4142 0.0000 2.7510
5.2812 1.5447 1.3783
6.5447 0.0000 3.9334
5.2812 -1.5447 1.3783
```

Calculated values
As for the symmetry: No. 12. The total energy comes out at -4.5897 eV/atom.

Material: Na3CoF
Method: DFT, PBE with a Hubbard U
State: optimized geometry

Structure (POSCAR):
```
Na3CoF
1.0
4.7431 0.0000 0.0000
0.0000 4.7431 0.0000
0.0000 0.0000 4.7431
Na Co F
3 1 1
Cartesian
0.0000 0.0000 2.3715
0.0000 2.3715 0.0000
2.3715 0.0000 0.0000
2.3715 2.3715 2.3715
0.0000 0.0000 0.0000
```

Calculated values
As for the symmetry: No. 221. The total energy comes out at -2.8325 eV/atom.

Material: Na3CoF4
Method: DFT, PBE with a Hubbard U
State: optimized geometry

Structure (POSCAR):
```
Na3CoF4
1.0
-2.3249 2.3249 4.6135
2.3249 -2.3249 4.6135
2.3249 2.3249 -4.6135
Na Co F
3 1 4
Cartesian
0.0000 0.0000 0.0000
2.3249 0.0000 2.3068
0.0000 2.3249 2.3068
0.0000 0.0000 4.6135
2.3249 0.0000 0.0000
0.0000 0.0000 2.3700
0.0000 2.3249 0.0000
0.0000 0.0000 6.8571
```

Calculated values
As for the symmetry: No. 139. The total energy comes out at -4.3192 eV/atom.

Material: Na2CoF5
Method: DFT, PBE with a Hubbard U
State: optimized geometry

Structure (POSCAR):
```
Na2CoF5
1.0
9.6098 0.0000 0.0000
0.0000 6.4936 0.0000
0.0000 0.0000 5.9099
Na Co F
8 4 20
Cartesian
1.6506 0.0146 0.2042
1.6506 3.2323 0.2042
3.1543 3.2614 3.1592
3.1543 6.4791 3.1592
6.4555 0.0146 2.7508
6.4555 3.2323 2.7508
7.9592 3.2614 5.7057
7.9592 6.4791 5.7057
0.0133 4.8702 2.5862
4.7916 1.6234 5.5412
4.8182 4.8702 0.3688
9.5965 1.6234 3.3237
0.0905 1.6234 5.3303
0.7586 3.5036 3.8713
0.7586 6.2368 3.8713
1.5650 1.6234 2.2034
1.8869 4.8702 1.9750
2.9180 1.6234 4.9299
3.2399 4.8702 5.1583
4.0463 0.2568 0.9163
4.0463 2.9900 0.9163
4.7144 4.8702 2.3753
4.8954 1.6234 3.5346
5.5636 3.5036 4.9937
5.5636 6.2368 4.9937
6.3699 1.6234 0.7516
6.6918 4.8702 0.9800
7.7229 1.6234 3.9350
8.0449 4.8702 3.7066
8.8512 0.2568 2.0387
8.8512 2.9900 2.0387
9.5193 4.8702 0.5796
```

Calculated values
As for the symmetry: No. 62. The total energy comes out at -4.4702 eV/atom.

Material: Na3Co2F8
Method: DFT, PBE with a Hubbard U
State: optimized geometry

Structure (POSCAR):
```
Na3Co2F8
1.0
5.6801 -3.2043 0.0000
5.6801 3.2043 0.0000
-2.8819 0.0000 5.4889
Na Co F
3 2 8
Cartesian
0.0000 0.0000 0.0000
4.2392 1.5742 2.7444
4.2392 -1.5742 2.7444
1.3918 0.0000 2.9004
7.0866 0.0000 2.5885
2.1695 1.6933 3.8399
-0.2728 0.0000 3.7955
2.9534 0.0000 1.8617
6.3088 1.6933 1.6490
2.1695 -1.6933 3.8399
5.5250 0.0000 3.6272
8.7512 0.0000 1.6934
6.3088 -1.6933 1.6490
```

Calculated values
As for the symmetry: No. 12. The total energy comes out at -4.5624 eV/atom.

Material: Na3Co4F12
Method: DFT, PBE with a Hubbard U
State: optimized geometry

Structure (POSCAR):
```
Na3Co4F12
1.0
-3.9318 3.9318 3.9318
3.9318 -3.9318 3.9318
3.9318 3.9318 -3.9318
Na Co F
3 4 12
Cartesian
3.9318 0.0000 0.0000
0.0000 3.9318 0.0000
0.0000 0.0000 3.9318
1.9659 1.9659 -1.9659
1.9659 -1.9659 1.9659
-1.9659 1.9659 1.9659
1.9659 1.9659 1.9659
3.9318 -1.5942 2.2653
2.3376 1.6664 0.0000
5.5259 1.6664 0.0000
2.2653 3.9318 -1.5942
1.6664 0.0000 2.3376
3.9318 1.5942 2.2653
0.0000 2.3376 1.6664
2.2653 3.9318 1.5942
1.6664 0.0000 5.5259
-1.5942 2.2653 3.9318
1.5942 2.2653 3.9318
0.0000 5.5259 1.6664
```

Calculated values
As for the symmetry: No. 204. The total energy comes out at -4.7546 eV/atom.

Material: NaCo2F5
Method: DFT, PBE with a Hubbard U
State: optimized geometry

Structure (POSCAR):
```
NaCo2F5
1.0
1.9676 -5.3911 0.0000
1.9676 5.3911 0.0000
0.0000 0.0000 10.0420
Na Co F
2 4 10
Cartesian
1.9676 4.4282 7.5315
1.9676 -4.4282 2.5105
1.9676 1.4809 5.6148
1.9676 1.4809 9.4481
1.9676 -1.4809 0.5938
1.9676 -1.4809 4.4271
1.9676 3.5484 0.1436
1.9676 3.5484 4.8774
1.9676 2.1792 7.5315
1.9676 0.4490 1.2070
1.9676 0.4490 3.8140
1.9676 -0.4490 6.2280
1.9676 -0.4490 8.8350
1.9676 -2.1792 2.5105
1.9676 -3.5484 5.1646
1.9676 -3.5484 9.8984
```

Calculated values
As for the symmetry: No. 63. The total energy comes out at -4.8757 eV/atom.

Material: NaCo2F
Method: DFT, PBE with a Hubbard U
State: optimized geometry

Structure (POSCAR):
```
NaCo2F
1.0
0.0000 3.2345 3.2345
3.2345 0.0000 3.2345
3.2345 3.2345 0.0000
Na Co F
1 2 1
Cartesian
0.0000 0.0000 0.0000
1.6172 1.6172 1.6172
4.8517 4.8517 4.8517
3.2345 3.2345 3.2345
```

Calculated values
As for the symmetry: No. 225. The total energy comes out at -2.6545 eV/atom.

Material: Na3CoF8
Method: DFT, PBE with a Hubbard U
State: optimized geometry

Structure (POSCAR):
```
Na3CoF8
1.0
-2.6624 2.6624 5.2648
2.6624 -2.6624 5.2648
2.6624 2.6624 -5.2648
Na Co F
3 1 8
Cartesian
0.0000 0.0000 0.0000
2.6624 0.0000 2.6324
0.0000 2.6624 2.6324
0.0000 0.0000 5.2648
1.4790 1.4790 -1.1859
1.1834 -1.1834 4.0789
1.4790 1.4790 1.1859
1.1834 -1.1834 6.4506
-1.1834 1.1834 4.0789
1.1834 1.1834 4.0789
-1.1834 1.1834 6.4506
1.1834 1.1834 6.4506
```

Calculated values
As for the symmetry: No. 139. The total energy comes out at -3.9195 eV/atom.

Material: Na2Co3F8
Method: DFT, PBE with a Hubbard U
State: optimized geometry

Structure (POSCAR):
```
Na2Co3F8
1.0
5.5817 -3.0751 0.0000
5.5817 3.0751 0.0000
-1.7496 0.0000 5.0914
Na Co F
2 3 8
Cartesian
2.2002 0.0000 0.7710
7.2136 0.0000 4.3204
4.7069 1.5831 2.5457
5.5817 0.0000 0.0000
4.7069 -1.5831 2.5457
0.3897 0.0000 2.1897
4.1757 1.3664 0.5399
5.2381 1.3664 4.5515
3.4362 0.0000 2.9895
5.9777 0.0000 2.1019
4.1757 -1.3664 0.5399
5.2381 -1.3664 4.5515
9.0242 0.0000 2.9017
```

Calculated values
As for the symmetry: No. 12. The total energy comes out at -4.6963 eV/atom.

Material: NaCo4F8
Method: DFT, PBE with a Hubbard U
State: optimized geometry

Structure (POSCAR):
```
NaCo4F8
1.0
7.3865 -1.6177 0.0000
7.3865 1.6177 0.0000
-6.5064 0.0000 7.4711
Na Co F
1 4 8
Cartesian
0.0000 0.0000 0.0000
-1.9675 0.0000 2.5164
3.0181 0.0000 0.3437
3.3620 0.0000 5.0643
8.1720 0.0000 2.9486
-2.9486 0.0000 5.8365
-0.2919 0.0000 3.7186
1.6563 0.0000 1.8820
4.4658 0.0000 3.3662
6.5695 0.0000 1.4675
2.4782 0.0000 6.9835
11.5679 0.0000 0.8829
9.5347 0.0000 4.4863
```

Calculated values
As for the symmetry: No. 8. The total energy comes out at -4.8206 eV/atom.

Material: NaCo3F
Method: DFT, PBE with a Hubbard U
State: optimized geometry

Structure (POSCAR):
```
NaCo3F
1.0
4.3663 0.0000 0.0000
0.0000 4.3663 0.0000
0.0000 0.0000 4.3663
Na Co F
1 3 1
Cartesian
0.0000 0.0000 0.0000
0.0000 2.1832 2.1832
2.1832 0.0000 2.1832
2.1832 2.1832 0.0000
2.1832 2.1832 2.1832
```

Calculated values
As for the symmetry: No. 221. The total energy comes out at -3.2486 eV/atom.

Material: Na6CoF12
Method: DFT, PBE with a Hubbard U
State: optimized geometry

Structure (POSCAR):
```
Na6CoF12
1.0
4.8815 2.8183 3.1608
-4.8815 2.8183 3.1608
0.0000 -5.6367 3.1608
Na Co F
6 1 12
Cartesian
-3.3197 -1.1554 4.8830
-0.6592 -3.4526 4.5994
-2.6605 2.2972 4.5994
2.6605 -2.2972 4.8830
0.6592 3.4526 4.8830
3.3197 1.1554 4.5994
0.0000 0.0000 4.7412
-4.2543 0.7669 4.0662
-2.7913 -3.3009 5.4162
-1.1255 -0.9992 3.7266
1.4630 -4.0678 4.0662
-0.3025 1.4743 3.7266
-1.4281 0.4752 5.7558
1.4281 -0.4752 3.7266
0.3025 -1.4743 5.7558
-1.4630 4.0678 5.4162
1.1256 0.9992 5.7558
2.7913 3.3009 4.0662
4.2543 -0.7669 5.4162
```

Calculated values
As for the symmetry: No. 148. The total energy comes out at -4.0128 eV/atom.

Material: NaNb2CoF
Method: DFT, PBE with a Hubbard U
State: optimized geometry

Structure (POSCAR):
```
NaNb2CoF
1.0
4.3600 0.0000 0.0000
0.0000 4.3600 0.0000
0.0000 0.0000 4.1988
Na Nb Co F
1 2 1 1
Cartesian
0.0000 0.0000 0.0000
0.0000 2.1800 2.0994
2.1800 0.0000 2.0994
2.1800 2.1800 0.0000
0.0000 0.0000 2.0994
```

Calculated values
As for the symmetry: No. 123. The total energy comes out at -5.4694 eV/atom.

Material: Na2NdCoF8
Method: DFT, PBE with a Hubbard U
State: optimized geometry

Structure (POSCAR):
```
Na2NdCoF8
1.0
4.4348 0.0000 0.0000
0.0000 7.0709 0.0000
-0.1799 0.0000 5.4071
Na Nd Co F
2 1 1 8
Cartesian
0.0000 1.6579 0.0000
0.0000 5.4129 0.0000
2.1274 3.5354 2.7035
2.1274 0.0000 2.7035
0.2911 3.5354 1.3583
0.6983 0.0000 1.5528
1.5042 1.5565 3.8359
1.5042 5.5144 3.8359
2.7507 1.5565 1.5711
2.7507 5.5144 1.5711
3.5566 0.0000 3.8542
3.9638 3.5354 4.0488
```

Calculated values
As for the symmetry: No. 10. The total energy comes out at -5.1932 eV/atom.

Material: Na2NdCo3F12
Method: DFT, PBE with a Hubbard U
State: optimized geometry

Structure (POSCAR):
```
Na2NdCo3F12
1.0
3.7537 2.1672 5.3110
-3.7537 2.1672 5.3110
0.0000 -4.3344 5.3110
Na Nd Co F
2 1 3 12
Cartesian
0.0000 0.0000 2.2391
0.0000 0.0000 13.6938
0.0000 0.0000 7.9664
-1.8769 -1.0836 5.3110
-1.8769 1.0836 10.6219
0.0000 2.1672 5.3110
-2.0787 -1.2002 7.2679
0.0000 -1.5851 5.7952
-1.3727 0.7926 5.7952
0.0000 -2.4003 8.6650
-2.0787 1.2002 8.6650
-1.3727 -0.7926 10.1377
1.3728 0.7926 5.7952
2.0787 -1.2002 7.2679
0.0000 2.4003 7.2679
1.3727 -0.7926 10.1377
0.0000 1.5851 10.1377
2.0787 1.2002 8.6649
```

Calculated values
As for the symmetry: No. 166. The total energy comes out at -5.1228 eV/atom.

Material: Na3CoNi2F9
Method: DFT, PBE with a Hubbard U
State: optimized geometry

Structure (POSCAR):
```
Na3CoNi2F9
1.0
5.6671 0.0000 0.0000
-2.8335 4.9078 0.0000
0.0000 0.0000 6.9367
Na Co Ni F
3 1 2 9
Cartesian
0.0000 0.0000 0.0000
0.0000 3.2719 4.6282
2.8335 1.6359 2.3086
0.0000 0.0000 3.4684
0.0000 3.2719 1.1469
2.8335 1.6359 5.7898
-1.4168 2.4539 0.0000
0.0000 1.6484 2.3022
-1.4060 4.0836 2.3022
1.4275 0.8242 4.6345
2.8335 0.0000 0.0000
1.4168 2.4539 0.0000
1.4060 4.0836 2.3022
4.2395 0.8242 4.6345
2.8335 3.2595 4.6345
```

Calculated values
As for the symmetry: No. 164. The total energy comes out at -4.4222 eV/atom.

Material: NaCoNi2F8
Method: DFT, PBE with a Hubbard U
State: optimized geometry

Structure (POSCAR):
```
NaCoNi2F8
1.0
4.7836 0.0000 0.0000
0.0000 6.3082 0.0000
-0.0393 0.0000 4.8037
Na Co Ni F
1 1 2 8
Cartesian
0.0000 0.0000 0.0000
0.0000 3.1541 0.0000
2.3722 1.5713 2.4018
2.3722 4.7369 2.4018
0.9600 1.8029 0.9416
0.9600 4.5054 0.9416
1.3838 3.1541 3.3596
1.4818 0.0000 3.2609
3.2625 0.0000 1.5428
3.3606 3.1541 1.4441
3.7843 1.8029 3.8620
3.7843 4.5054 3.8620
```

Calculated values
As for the symmetry: No. 10. The total energy comes out at -4.3939 eV/atom.